1.
Entry from Alexandria: an optimized crystal structure of BaBiIr (PBE).

a = 13.716 Å, b = 4.497 Å, c = 6.296 Å
α = 90.00°, β = 104.67°, γ = 90.00°
Space group C2/m (No. 12)
Asymmetric unit:
1 Ba 0.126 0.000 0.305 (multiplicity 4)
2 Bi 0.099 0.500 0.774 (multiplicity 4)
3 Ir 0.220 0.000 0.888 (multiplicity 4)

Results
formation energy: -0.404 eV/atom
density of states at the Fermi level: 0.554 states/eV/atom
V: 376 Å³ per cell

---

2.
Entry from Alexandria: an optimized crystal structure of Sr2TlZnPd6 (PBE).

a = 5.579 Å, b = 6.769 Å, c = 6.984 Å
α = 79.90°, β = 66.54°, γ = 65.93°
Space group P-1 (No. 2)
Asymmetric unit:
1 Sr 0.026 0.219 0.227 (multiplicity 2)
2 Tl 0.500 0.500 0.000 (multiplicity 1)
3 Zn 0.500 0.000 0.500 (multiplicity 1)
4 Pd 0.012 0.235 0.744 (multiplicity 2)
5 Pd 0.332 0.421 0.427 (multiplicity 2)
6 Pd 0.494 0.771 0.249 (multiplicity 2)

Results
formation energy: -0.438 eV/atom
density of states at the Fermi level: 0.410 states/eV/atom
V: 221 Å³ per cell

---

3.
Entry from Alexandria: an optimized crystal structure of Al2TlMo2 (PBE).

a = 7.424 Å, b = 7.424 Å, c = 3.269 Å
α = 90.00°, β = 90.00°, γ = 90.00°
Space group P4/mbm (No. 127)
Asymmetric unit:
1 Al 0.174 0.326 0.000 (multiplicity 4)
2 Tl 0.000 0.000 0.500 (multiplicity 2)
3 Mo 0.115 0.615 0.500 (multiplicity 4)

Results
formation energy: 0.209 eV/atom
density of states at the Fermi level: 0.562 states/eV/atom
V: 180 Å³ per cell

---

4.
Entry from Alexandria: an optimized crystal structure of Ba13In2 (PBE).

a = 8.275 Å, b = 10.178 Å, c = 11.344 Å
α = 114.99°, β = 90.58°, γ = 100.46°
Space group P-1 (No. 2)
Asymmetric unit:
1 Ba 0.000 0.000 0.000 (multiplicity 1)
2 Ba 0.017 0.421 0.630 (multiplicity 2)
3 Ba 0.163 0.998 0.655 (multiplicity 2)
4 Ba 0.232 0.413 0.007 (multiplicity 2)
5 Ba 0.307 0.914 0.256 (multiplicity 2)
6 Ba 0.421 0.770 0.852 (multiplicity 2)
7 Ba 0.498 0.653 0.424 (multiplicity 2)
8 In 0.192 0.277 0.318 (multiplicity 2)

Results
formation energy: -0.080 eV/atom
density of states at the Fermi level: 1.416 states/eV/atom
V: 848 Å³ per cell

---

5.
Entry from Alexandria: an optimized crystal structure of Mo3Br (PBE).

a = 3.0980 Å, b = 3.0980 Å, c = 25.0875 Å
α = 90.00°, β = 90.00°, γ = 120.00°
Space group R-3m (No. 166, hexagonal axes)
Asymmetric unit:
1 Mo 0.0000 0.0000 0.0000 (multiplicity 3)
2 Mo 0.0000 0.0000 0.2560 (multiplicity 6)
3 Br 0.0000 0.0000 0.5000 (multiplicity 3)

Results
formation energy without anion corrections: 0.546 eV per atom
density of states at the Fermi level: 1.366 states/eV/atom
V: 209 Å³ per cell

---

6.
Entry from Alexandria: an optimized crystal structure of AcPd4Pt2 (PBE).

a = 8.069 Å, b = 8.069 Å, c = 5.306 Å
α = 90.00°, β = 90.00°, γ = 90.00°
Space group I4/mmm (No. 139)
Asymmetric unit:
1 Ac 0.000 0.000 0.000 (multiplicity 2)
2 Pd 0.000 0.223 0.500 (multiplicity 8)
3 Pt 0.000 0.500 0.250 (multiplicity 4)

Results
formation energy: 0.101 eV/atom
density of states at the Fermi level: 2.047 states/eV/atom
V: 345 Å³ per cell

---

7.
Entry from Alexandria: an optimized crystal structure of In3AsH (PBE).

a = 5.472 Å, b = 5.472 Å, c = 5.472 Å
α = 90.00°, β = 90.00°, γ = 90.00°
Space group Pm-3m (No. 221)
Asymmetric unit:
1 In 0.000 0.000 0.500 (multiplicity 3)
2 As 0.000 0.000 0.000 (multiplicity 1)
3 H 0.500 0.500 0.500 (multiplicity 1)

Results
VASP energy: -2.52 eV per atom
density of states at the Fermi level: 0.311 states/eV/atom
V: 164 Å³ per cell

---

8.
Entry from Alexandria: an optimized crystal structure of LaCePrSn (PBE).

a = 7.879 Å, b = 7.879 Å, c = 7.879 Å
α = 90.00°, β = 90.00°, γ = 90.00°
Space group F-43m (No. 216)
Asymmetric unit:
1 La 0.000 0.000 0.000 (multiplicity 4)
2 Ce 0.250 0.250 0.250 (multiplicity 4)
3 Pr 0.000 0.000 0.500 (multiplicity 4)
4 Sn 0.250 0.250 0.750 (multiplicity 4)

Results
formation energy: -0.221 eV/atom
density of states at the Fermi level: 2.212 states/eV/atom
V: 489 Å³ per cell

---

9.
Entry from Alexandria: an optimized crystal structure of Al2Ni2Te (PBE).

a = 3.706 Å, b = 3.706 Å, c = 12.183 Å
α = 90.00°, β = 90.00°, γ = 90.00°
Space group I4/mmm (No. 139)
Asymmetric unit:
1 Al 0.000 0.000 0.123 (multiplicity 4)
2 Ni 0.000 0.500 0.250 (multiplicity 4)
3 Te 0.000 0.000 0.500 (multiplicity 2)

Results
formation energy without anion corrections: -0.030 eV per atom
density of states at the Fermi level: 0.392 states/eV/atom
V: 167 Å³ per cell

---

10.
Entry from Alexandria: an optimized crystal structure of CaCuNF2 (PBE).

a = 4.133 Å, b = 4.133 Å, c = 3.730 Å
α = 90.00°, β = 90.00°, γ = 90.00°
Space group P4/mmm (No. 123)
Asymmetric unit:
1 Ca 0.000 0.000 0.000 (multiplicity 1)
2 Cu 0.500 0.500 0.500 (multiplicity 1)
3 N 0.500 0.500 0.000 (multiplicity 1)
4 F 0.000 0.500 0.500 (multiplicity 2)

Results
formation energy without anion corrections: -1.264 eV per atom
density of states at the Fermi level: 0.411 states/eV/atom
V: 64 Å³ per cell

---

11.
Entry from Alexandria: an optimized crystal structure of LiTbSm2Tl4 (PBE).

a = 5.2883 Å, b = 5.2883 Å, c = 26.8473 Å
α = 90.00°, β = 90.00°, γ = 120.00°
Space group R-3m (No. 166, hexagonal axes)
Asymmetric unit:
1 Li 0.0000 0.0000 0.0000 (multiplicity 3)
2 Tb 0.0000 0.0000 0.5000 (multiplicity 3)
3 Sm 0.0000 0.0000 0.2556 (multiplicity 6)
4 Tl 0.0000 0.0000 0.1241 (multiplicity 6)
5 Tl 0.0000 0.0000 0.3736 (multiplicity 6)

Results
formation energy: -0.345 eV/atom
density of states at the Fermi level: 0.577 states/eV/atom
V: 650 Å³ per cell

---

12.
Entry from Alexandria: an optimized crystal structure of NaP2AuS (PBE).

a = 4.821 Å, b = 4.821 Å, c = 5.248 Å
α = 90.00°, β = 90.00°, γ = 90.00°
Space group P4/mmm (No. 123)
Asymmetric unit:
1 Na 0.000 0.000 0.000 (multiplicity 1)
2 P 0.000 0.500 0.500 (multiplicity 2)
3 Au 0.500 0.500 0.500 (multiplicity 1)
4 S 0.500 0.500 0.000 (multiplicity 1)

Results
formation energy without anion corrections: 0.582 eV per atom
density of states at the Fermi level: 0.620 states/eV/atom
V: 122 Å³ per cell

---

13.
Entry from Alexandria: an optimized crystal structure of BeCdCl2 (PBE).

a = 3.755 Å, b = 3.038 Å, c = 9.835 Å
α = 90.00°, β = 95.85°, γ = 90.00°
Space group P2/m (No. 10)
Asymmetric unit:
1 Be 0.000 0.000 0.000 (multiplicity 1)
2 Cd 0.500 0.000 0.500 (multiplicity 1)
3 Cl 0.112 0.500 0.862 (multiplicity 2)

Results
formation energy without anion corrections: -0.664 eV per atom
density of states at the Fermi level: 0.147 states/eV/atom
V: 112 Å³ per cell

---

14.
Entry from Alexandria: an optimized crystal structure of Sr3TeAs2Pd9 (PBE).

a = 6.6325 Å, b = 6.6325 Å, c = 9.1030 Å
α = 90.00°, β = 90.00°, γ = 120.00°
Space group P-3m1 (No. 164)
Asymmetric unit:
1 Sr 0.0000 0.0000 0.0000 (multiplicity 1)
2 Sr 0.3333 0.6667 0.6845 (multiplicity 2)
3 Te 0.0000 0.0000 0.5000 (multiplicity 1)
4 As 0.3333 0.6667 0.1687 (multiplicity 2)
5 Pd 0.0000 0.5000 0.0000 (multiplicity 3)
6 Pd 0.1468 0.2936 0.2820 (multiplicity 6)

Results
formation energy without anion corrections: -0.554 eV per atom
density of states at the Fermi level: 0.496 states/eV/atom
V: 347 Å³ per cell

---

15.
Entry from Alexandria: an optimized crystal structure of Al2CrIrS (PBE).

a = 4.655 Å, b = 4.655 Å, c = 5.051 Å
α = 90.00°, β = 90.00°, γ = 90.00°
Space group P4/mmm (No. 123)
Asymmetric unit:
1 Al 0.000 0.500 0.000 (multiplicity 2)
2 Cr 0.000 0.000 0.500 (multiplicity 1)
3 Ir 0.500 0.500 0.000 (multiplicity 1)
4 S 0.500 0.500 0.500 (multiplicity 1)

Results
formation energy without anion corrections: 0.514 eV per atom
density of states at the Fermi level: 0.569 states/eV/atom
V: 109 Å³ per cell

---

16.
Entry from Alexandria: an optimized crystal structure of Li2ScSb (PBE).

a = 4.127 Å, b = 4.127 Å, c = 21.174 Å
α = 90.00°, β = 90.00°, γ = 90.00°
Space group I-42d (No. 122)
Asymmetric unit:
1 Li 0.220 0.250 0.125 (multiplicity 8)
2 Sc 0.000 0.000 0.500 (multiplicity 4)
3 Sb 0.000 0.000 0.000 (multiplicity 4)

Results
formation energy without anion corrections: -0.305 eV per atom
density of states at the Fermi level: 0.636 states/eV/atom
V: 361 Å³ per cell

---

17.
Entry from Alexandria: an optimized crystal structure of LiYPu (PBE).

a = 3.457 Å, b = 3.460 Å, c = 16.106 Å
α = 84.05°, β = 90.00°, γ = 60.16°
Space group P-1 (No. 2)
Asymmetric unit:
1 Li 0.143 0.215 0.429 (multiplicity 2)
2 Y 0.420 0.664 0.259 (multiplicity 2)
3 Pu 0.306 0.886 0.917 (multiplicity 2)

Results
formation energy: 0.183 eV/atom
density of states at the Fermi level: 2.720 states/eV/atom
V: 166 Å³ per cell

---

18.
Entry from Alexandria: an optimized crystal structure of NaCe2P3Rh12 (PBE).

a = 8.7257 Å, b = 8.7257 Å, c = 13.3479 Å
α = 90.00°, β = 90.00°, γ = 120.00°
Space group R-3m (No. 166, hexagonal axes)
Asymmetric unit:
1 Na 0.0000 0.0000 0.0000 (multiplicity 3)
2 Ce 0.0000 0.0000 0.3802 (multiplicity 6)
3 P 0.0000 0.5000 0.5000 (multiplicity 9)
4 Rh 0.0205 0.5103 0.3287 (multiplicity 18)
5 Rh 0.0353 0.5176 0.8736 (multiplicity 18)

Results
formation energy: -0.368 eV/atom
density of states at the Fermi level: 0.938 states/eV/atom
V: 880 Å³ per cell

---

19.
Entry from Alexandria: an optimized crystal structure of Li5Mg4Cd2 (PBE).

a = 20.952 Å, b = 3.011 Å, c = 7.408 Å
α = 90.00°, β = 95.46°, γ = 90.00°
Space group C2/m (No. 12)
Asymmetric unit:
1 Li 0.000 0.000 0.000 (multiplicity 2)
2 Li 0.131 0.500 0.042 (multiplicity 4)
3 Li 0.181 0.500 0.471 (multiplicity 4)
4 Mg 0.043 0.500 0.341 (multiplicity 4)
5 Mg 0.228 0.000 0.819 (multiplicity 4)
6 Cd 0.088 0.000 0.700 (multiplicity 4)

Results
formation energy: -0.061 eV/atom
density of states at the Fermi level: 0.327 states/eV/atom
V: 465 Å³ per cell

---

20.
Entry from Alexandria: an optimized crystal structure of PrDyHo2As4 (PBE).

a = 7.199 Å, b = 4.162 Å, c = 7.202 Å
α = 90.00°, β = 109.48°, γ = 90.00°
Space group P2/m (No. 10)
Asymmetric unit:
1 Pr 0.000 0.000 0.000 (multiplicity 1)
2 Dy 0.000 0.500 0.500 (multiplicity 1)
3 Ho 0.500 0.000 0.500 (multiplicity 1)
4 Ho 0.500 0.500 0.000 (multiplicity 1)
5 As 0.255 0.000 0.747 (multiplicity 2)
6 As 0.259 0.500 0.258 (multiplicity 2)

Results
formation energy: -1.512 eV/atom
density of states at the Fermi level: 0.107 states/eV/atom
V: 203 Å³ per cell

---

21.
Entry from Alexandria: an optimized crystal structure of SrLiSb2S4 (PBE).

a = 8.828 Å, b = 10.951 Å, c = 7.911 Å
α = 90.00°, β = 90.00°, γ = 90.00°
Space group Fmm2 (No. 42)
Asymmetric unit:
1 Sr 0.000 0.000 0.000 (multiplicity 4)
2 Li 0.000 0.000 0.475 (multiplicity 4)
3 Sb 0.250 0.250 0.247 (multiplicity 8)
4 S 0.000 0.232 0.562 (multiplicity 8)
5 S 0.229 0.000 0.274 (multiplicity 8)

Results
formation energy without anion corrections: -0.839 eV per atom
density of states at the Fermi level: 0.198 states/eV/atom
V: 765 Å³ per cell

---

22.
Entry from Alexandria: an optimized crystal structure of LiMn3Pd6 (PBE).

a = 7.8019 Å, b = 7.8019 Å, c = 17.4282 Å
α = 90.00°, β = 90.00°, γ = 120.00°
Space group R-3m (No. 166, hexagonal axes)
Asymmetric unit:
1 Li 0.0000 0.0000 0.0000 (multiplicity 3)
2 Li 0.0000 0.0000 0.5000 (multiplicity 3)
3 Mn 0.1035 0.5517 0.0642 (multiplicity 18)
4 Pd 0.0777 0.5389 0.8017 (multiplicity 18)
5 Pd 0.0851 0.5425 0.3920 (multiplicity 18)

Results
formation energy: -0.057 eV/atom
density of states at the Fermi level: 0.329 states/eV/atom
V: 919 Å³ per cell

---

23.
Entry from Alexandria: an optimized crystal structure of La6CeYEr2 (PBE).

a = 11.288 Å, b = 7.211 Å, c = 8.961 Å
α = 90.00°, β = 103.01°, γ = 90.00°
Space group C2/m (No. 12)
Asymmetric unit:
1 La 0.132 0.000 0.424 (multiplicity 4)
2 La 0.171 0.274 0.799 (multiplicity 8)
3 Ce 0.000 0.000 0.000 (multiplicity 2)
4 Y 0.000 0.500 0.500 (multiplicity 2)
5 Er 0.095 0.500 0.161 (multiplicity 4)

Results
formation energy: 0.218 eV/atom
density of states at the Fermi level: 2.276 states/eV/atom
V: 711 Å³ per cell

---

24.
Entry from Alexandria: an optimized crystal structure of ZrTl2Os (PBE).

a = 9.923 Å, b = 3.405 Å, c = 5.051 Å
α = 90.00°, β = 102.82°, γ = 90.00°
Space group C2/m (No. 12)
Asymmetric unit:
1 Zr 0.000 0.000 0.000 (multiplicity 2)
2 Tl 0.240 0.000 0.736 (multiplicity 4)
3 Os 0.000 0.500 0.500 (multiplicity 2)

Results
formation energy: 0.427 eV/atom
density of states at the Fermi level: 0.547 states/eV/atom
V: 166 Å³ per cell